1.
Below is an optimized crystal structure of LaSbI2Br, with properties calculated at the PBE level.

Electronic total energy (eV for the cell shown): -13.45
Volume (Å³ per atom): 38.34
Spin magnetization (μB per formula unit): 0.25
Raw formation energy (kJ/mol of formula units): 36

a = 5.7807 Å, b = 5.7807 Å, c = 5.7363 Å
α = 90.00°, β = 90.00°, γ = 90.00°
Closest atoms and distances in Å follow each position.
Space group P4/mmm (No. 123)
Inequivalent atoms, fractional coordinates:
1 La 0.0000 0.0000 0.0000 x1  8 I 4.07, 4 Sb 4.09
2 Sb 0.5000 0.5000 0.0000 x1  2 Br 2.87
3 I 0.0000 0.5000 0.5000 x2  2 Br 2.89
4 Br 0.5000 0.5000 0.5000 x1  2 Sb 2.87, 4 I 2.89

2.
Below is an optimized crystal structure of LaSe2IBr, with properties calculated at the PBE level.

Electronic total energy (eV for the cell shown): -15.74
Volume (Å³ per atom): 34.33
Spin magnetization (μB per formula unit): 0.27
Raw formation energy (kJ/mol of formula units): -60

a = 5.6190 Å, b = 5.6190 Å, c = 5.4372 Å
α = 90.00°, β = 90.00°, γ = 90.00°
Closest atoms and distances in Å follow each position.
Space group P4/mmm (No. 123)
Inequivalent atoms, fractional coordinates:
1 La 0.0000 0.0000 0.0000 x1  8 Se 3.91, 4 Br 3.97
2 Se 0.0000 0.5000 0.5000 x2  2 I 2.81
3 I 0.5000 0.5000 0.5000 x1  2 Br 2.72, 4 Se 2.81
4 Br 0.5000 0.5000 0.0000 x1  2 I 2.72

3.
Below is an optimized crystal structure of LaSeIBr2, with properties calculated at the PBE level.

Electronic total energy (eV for the cell shown): -18.01
Volume (Å³ per atom): 41.02
Spin magnetization (μB per formula unit): 1.94
Raw formation energy (kJ/mol of formula units): -454

a = 5.7803 Å, b = 5.7803 Å, c = 6.1381 Å
α = 90.00°, β = 90.00°, γ = 90.00°
Closest atoms and distances in Å follow each position.
Space group P4/mmm (No. 123)
Inequivalent atoms, fractional coordinates:
1 La 0.0000 0.0000 0.0000 x1  4 Br 2.89, 2 Se 3.07
2 Se 0.0000 0.0000 0.5000 x1  2 La 3.07
3 I 0.5000 0.5000 0.5000 x1  4 Se 4.09, 8 Br 4.22
4 Br 0.0000 0.5000 0.0000 x2  2 La 2.89